Entry 1:
! V2Co4Rh PBE relaxed; values from VASP
! Distance to the lowest polymorph of the same formula ... 0.000 eV per formula unit
! Energy of formation ... 0.097 eV/atom
! DFT total energy ... -7.619 eV/atom
! SG ... I4/mmm
&SYSTEM
  ibrav = 0, nat = 7, ntyp = 3
/
ATOMIC_SPECIES
V 50.94 V.upf
Co 58.93 Co.upf
Rh 102.91 Rh.upf
CELL_PARAMETERS angstrom
-1.592 1.592 8.559
1.592 -1.592 8.559
1.592 1.592 -8.559
ATOMIC_POSITIONS crystal
V 0.094 0.094 0.000
V 0.906 0.906 0.000
Co 0.250 0.750 0.500
Co 0.354 0.354 0.000
Co 0.646 0.646 0.000
Co 0.750 0.250 0.500
Rh 0.500 0.500 0.000

=====

Entry 2:
! VCoRh PBE relaxed; values from VASP
! Distance to the lowest polymorph of the same formula ... 0.869 eV per formula unit
! Energy of formation ... 0.044 eV/atom
! DFT total energy ... -7.815 eV/atom
! SG ... C2/m
&SYSTEM
  ibrav = 0, nat = 6, ntyp = 3
/
ATOMIC_SPECIES
V 50.94 V.upf
Co 58.93 Co.upf
Rh 102.91 Rh.upf
CELL_PARAMETERS angstrom
4.115 -1.320 0.000
4.115 1.320 0.000
-3.468 0.000 7.371
ATOMIC_POSITIONS crystal
V 0.182 0.182 0.104
V 0.818 0.818 0.896
Co 0.338 0.338 0.444
Co 0.662 0.662 0.556
Rh 0.014 0.014 0.745
Rh 0.986 0.986 0.255

=====

Entry 3:
! V3Co3Rh PBE relaxed; values from VASP
! Energy of formation ... 0.152 eV/atom
! DFT total energy ... -7.851 eV/atom
! SG ... R-3
&SYSTEM
  ibrav = 0, nat = 14, ntyp = 3
/
ATOMIC_SPECIES
V 50.94 V.upf
Co 58.93 Co.upf
Rh 102.91 Rh.upf
CELL_PARAMETERS angstrom
3.151 1.819 5.314
-3.151 1.819 5.314
0.000 -3.638 5.314
ATOMIC_POSITIONS crystal
V 0.097 0.302 0.805
V 0.195 0.903 0.698
V 0.302 0.805 0.097
V 0.698 0.195 0.903
V 0.805 0.097 0.302
V 0.903 0.698 0.195
Co 0.067 0.751 0.537
Co 0.249 0.463 0.933
Co 0.463 0.933 0.249
Co 0.537 0.067 0.751
Co 0.751 0.537 0.067
Co 0.933 0.249 0.463
Rh 0.345 0.345 0.345
Rh 0.655 0.655 0.655

=====

Entry 4:
! V2Co4Rh PBE relaxed; values from VASP
! Distance to the lowest polymorph of the same formula ... 7.502 eV per formula unit
! Energy of formation ... 1.169 eV/atom
! DFT total energy ... -6.547 eV/atom
! SG ... I4/mmm
&SYSTEM
  ibrav = 0, nat = 7, ntyp = 3
/
ATOMIC_SPECIES
V 50.94 V.upf
Co 58.93 Co.upf
Rh 102.91 Rh.upf
CELL_PARAMETERS angstrom
-2.207 2.207 5.821
2.207 -2.207 5.821
2.207 2.207 -5.821
ATOMIC_POSITIONS crystal
V 0.114 0.114 0.000
V 0.886 0.886 0.000
Co 0.000 0.500 0.500
Co 0.289 0.289 0.000
Co 0.500 0.000 0.500
Co 0.711 0.711 0.000
Rh 0.500 0.500 0.000

=====

| no. | N(E_F) (states/eV/atom) |
| --- | --- |
| 1 | 1.24 |
| 2 | 1.25 |
| 3 | 1.34 |
| 4 | 1.69 |